Record 1
BAs2PbBr after structural relaxation. Source: the Alexandria database, functional PBE-GGA.

abc: 5.505 5.505 5.810
angles: 90.00 90.00 90.00
Space group P4/mmm (No. 123)
One atom of each set of equivalent atoms:
1 B 0.000 0.000 0.000
2 As 0.000 0.500 0.500
3 Pb 0.500 0.500 0.500
4 Br 0.500 0.500 0.000

Calculated values
DFT total energy, eV per atom: -2.662
Total magnetization, μB/f.u.: 1.8


Record 2
BAsPbBr2 after structural relaxation. Source: the Alexandria database, functional PBE-GGA.

abc: 5.019 5.019 4.509
angles: 90.00 90.00 90.00
Space group P4/mmm (No. 123)
One atom of each set of equivalent atoms:
1 B 0.000 0.000 0.000
2 As 0.000 0.000 0.500
3 Pb 0.500 0.500 0.500
4 Br 0.000 0.500 0.000

Calculated values
DFT total energy, eV per atom: -3.202
Total magnetization, μB/f.u.: 0.0


Record 3
BAsPbBr2 after structural relaxation. Source: the Alexandria database, functional PBE-GGA.

abc: 5.839 5.839 5.725
angles: 90.00 90.00 90.00
Space group P4/mmm (No. 123)
One atom of each set of equivalent atoms:
1 B 0.000 0.000 0.000
2 As 0.500 0.500 0.000
3 Pb 0.500 0.500 0.500
4 Br 0.000 0.500 0.500

Calculated values
DFT total energy, eV per atom: -2.552
Total magnetization, μB/f.u.: 1.6


Record 4
BAs2PbBr after structural relaxation. Source: the Alexandria database, functional PBE-GGA.

abc: 4.351 4.351 6.187
angles: 90.00 90.00 90.00
Space group P4/mmm (No. 123)
One atom of each set of equivalent atoms:
1 B 0.000 0.000 0.000
2 As 0.000 0.500 0.000
3 Pb 0.500 0.500 0.500
4 Br 0.000 0.000 0.500

Calculated values
DFT total energy, eV per atom: -3.738
Total magnetization, μB/f.u.: 0.0


Record 5
BAs2PdBr after structural relaxation. Source: the Alexandria database, functional PBE-GGA.

abc: 4.376 4.376 4.674
angles: 90.00 90.00 90.00
Space group P4/mmm (No. 123)
One atom of each set of equivalent atoms:
1 B 0.000 0.000 0.000
2 As 0.000 0.500 0.000
3 Pd 0.500 0.500 0.500
4 Br 0.000 0.000 0.500

Calculated values
DFT total energy, eV per atom: -3.723
Total magnetization, μB/f.u.: 0.0


Record 6
BAs2PdBr after structural relaxation. Source: the Alexandria database, functional PBE-GGA.

abc: 4.799 4.799 5.471
angles: 90.00 90.00 90.00
Space group P4/mmm (No. 123)
One atom of each set of equivalent atoms:
1 B 0.000 0.000 0.000
2 As 0.000 0.500 0.500
3 Pd 0.500 0.500 0.500
4 Br 0.500 0.500 0.000

Calculated values
DFT total energy, eV per atom: -3.265
Total magnetization, μB/f.u.: 0.8


Record 7
BAsPdBr2 after structural relaxation. Source: the Alexandria database, functional PBE-GGA.

abc: 4.846 4.846 4.201
angles: 90.00 90.00 90.00
Space group P4/mmm (No. 123)
One atom of each set of equivalent atoms:
1 B 0.000 0.000 0.000
2 As 0.000 0.000 0.500
3 Pd 0.500 0.500 0.500
4 Br 0.000 0.500 0.000

Calculated values
DFT total energy, eV per atom: -3.110
Total magnetization, μB/f.u.: 0.0


Record 8
BAsPdBr2 after structural relaxation. Source: the Alexandria database, functional PBE-GGA.

abc: 5.252 5.252 4.779
angles: 90.00 90.00 90.00
Space group P4/mmm (No. 123)
One atom of each set of equivalent atoms:
1 B 0.000 0.000 0.000
2 As 0.500 0.500 0.000
3 Pd 0.500 0.500 0.500
4 Br 0.000 0.500 0.500

Calculated values
DFT total energy, eV per atom: -2.879
Total magnetization, μB/f.u.: 0.7


Record 9
Pr4BAsBr2 after structural relaxation. Source: the Alexandria database, functional PBE-GGA.

abc: 7.303 4.154 7.781
angles: 90.00 107.79 90.00
Space group P2/m (No. 10)
One atom of each set of equivalent atoms:
1 Pr 0.211 0.000 0.197
2 Pr 0.242 0.500 0.796
3 B 0.000 0.500 0.000
4 As 0.500 0.000 0.000
5 Br 0.000 0.000 0.500
6 Br 0.500 0.500 0.500

Calculated values
DFT total energy, eV per atom: -5.330
Total magnetization, μB/f.u.: 0.0


Record 10
BAs2PtBr after structural relaxation. Source: the Alexandria database, functional PBE-GGA.

abc: 4.449 4.449 4.346
angles: 90.00 90.00 90.00
Space group P4/mmm (No. 123)
One atom of each set of equivalent atoms:
1 B 0.000 0.000 0.000
2 As 0.000 0.500 0.000
3 Pt 0.500 0.500 0.500
4 Br 0.000 0.000 0.500

Calculated values
DFT total energy, eV per atom: -3.802
Total magnetization, μB/f.u.: 0.0


Record 11
BAs2PtBr after structural relaxation. Source: the Alexandria database, functional PBE-GGA.

abc: 4.826 4.826 5.485
angles: 90.00 90.00 90.00
Space group P4/mmm (No. 123)
One atom of each set of equivalent atoms:
1 B 0.000 0.000 0.000
2 As 0.000 0.500 0.500
3 Pt 0.500 0.500 0.500
4 Br 0.500 0.500 0.000

Calculated values
DFT total energy, eV per atom: -3.422
Total magnetization, μB/f.u.: 0.0


Record 12
RbBAsBr2 after structural relaxation. Source: the Alexandria database, functional PBE-GGA.

abc: 6.458 6.458 6.586
angles: 90.00 90.00 90.00
Space group P4/mmm (No. 123)
One atom of each set of equivalent atoms:
1 Rb 0.000 0.000 0.000
2 B 0.500 0.500 0.500
3 As 0.000 0.000 0.500
4 Br 0.000 0.500 0.000

Calculated values
DFT total energy, eV per atom: -1.883
Total magnetization, μB/f.u.: 3.1


Record 13
RbBAsBr2 after structural relaxation. Source: the Alexandria database, functional PBE-GGA.

abc: 5.607 5.607 4.124
angles: 90.00 90.00 90.00
Space group P4/mmm (No. 123)
One atom of each set of equivalent atoms:
1 Rb 0.000 0.000 0.000
2 B 0.500 0.500 0.500
3 As 0.500 0.500 0.000
4 Br 0.000 0.500 0.500

Calculated values
DFT total energy, eV per atom: -3.092
Total magnetization, μB/f.u.: 0.0


Record 14
RbBAs2Br after structural relaxation. Source: the Alexandria database, functional PBE-GGA.

abc: 7.099 7.099 6.344
angles: 90.00 90.00 90.00
Space group P4/mmm (No. 123)
One atom of each set of equivalent atoms:
1 Rb 0.000 0.000 0.000
2 B 0.500 0.500 0.500
3 As 0.000 0.500 0.000
4 Br 0.000 0.000 0.500

Calculated values
DFT total energy, eV per atom: -1.895
Total magnetization, μB/f.u.: 5.0


Record 15
RbBAsBr2 after structural relaxation. Source: the Alexandria database, functional PBE-GGA.

abc: 4.817 4.817 7.180
angles: 90.00 90.00 90.00
Space group P4/mmm (No. 123)
One atom of each set of equivalent atoms:
1 Rb 0.000 0.000 0.000
2 B 0.000 0.000 0.500
3 As 0.500 0.500 0.000
4 Br 0.000 0.500 0.500

Calculated values
DFT total energy, eV per atom: -2.468
Total magnetization, μB/f.u.: 2.4


Record 16
RbB2AsBr after structural relaxation. Source: the Alexandria database, functional PBE-GGA.

abc: 5.053 5.053 5.331
angles: 90.00 90.00 90.00
Space group P4/mmm (No. 123)
One atom of each set of equivalent atoms:
1 Rb 0.000 0.000 0.000
2 B 0.000 0.500 0.500
3 As 0.500 0.500 0.000
4 Br 0.500 0.500 0.500

Calculated values
DFT total energy, eV per atom: -2.337
Total magnetization, μB/f.u.: 0.0


Record 17
Rb2BAsBr6 after structural relaxation. Source: the Alexandria database, functional PBE-GGA.

abc: 7.530 7.530 10.534
angles: 90.00 90.00 90.00
Space group I4/mmm (No. 139)
One atom of each set of equivalent atoms:
1 Rb 0.000 0.500 0.250
2 B 0.000 0.000 0.000
3 As 0.000 0.000 0.500
4 Br 0.000 0.000 0.243
5 Br 0.247 0.247 0.000

Calculated values
DFT total energy, eV per atom: -2.927
Total magnetization, μB/f.u.: 0.0


Record 18
RbBAs2Br after structural relaxation. Source: the Alexandria database, functional PBE-GGA.

abc: 4.395 4.395 8.888
angles: 90.00 90.00 90.00
Space group P4/mmm (No. 123)
One atom of each set of equivalent atoms:
1 Rb 0.000 0.000 0.000
2 B 0.500 0.500 0.500
3 As 0.000 0.500 0.500
4 Br 0.500 0.500 0.000

Calculated values
DFT total energy, eV per atom: -3.528
Total magnetization, μB/f.u.: 0.0


Record 19
ReBAs2Br after structural relaxation. Source: the Alexandria database, functional PBE-GGA.

abc: 4.275 4.275 4.494
angles: 90.00 90.00 90.00
Space group P4/mmm (No. 123)
One atom of each set of equivalent atoms:
1 Re 0.000 0.000 0.000
2 B 0.500 0.500 0.500
3 As 0.000 0.500 0.500
4 Br 0.500 0.500 0.000

Calculated values
DFT total energy, eV per atom: -4.580
Total magnetization, μB/f.u.: 1.0


Record 20
ReBAs2Br after structural relaxation. Source: the Alexandria database, functional PBE-GGA.

abc: 4.722 4.722 5.583
angles: 90.00 90.00 90.00
Space group P4/mmm (No. 123)
One atom of each set of equivalent atoms:
1 Re 0.000 0.000 0.000
2 B 0.500 0.500 0.500
3 As 0.000 0.500 0.000
4 Br 0.000 0.000 0.500

Calculated values
DFT total energy, eV per atom: -4.668
Total magnetization, μB/f.u.: 0.0


Record 21
BAsRuBr2 after structural relaxation. Source: the Alexandria database, functional PBE-GGA.

abc: 5.240 5.240 4.614
angles: 90.00 90.00 90.00
Space group P4/mmm (No. 123)
One atom of each set of equivalent atoms:
1 B 0.000 0.000 0.000
2 As 0.500 0.500 0.000
3 Ru 0.500 0.500 0.500
4 Br 0.000 0.500 0.500

Calculated values
DFT total energy, eV per atom: -3.625
Total magnetization, μB/f.u.: 0.0


Record 22
BAsRuBr2 after structural relaxation. Source: the Alexandria database, functional PBE-GGA.

abc: 4.546 4.546 4.487
angles: 90.00 90.00 90.00
Space group P4/mmm (No. 123)
One atom of each set of equivalent atoms:
1 B 0.000 0.000 0.000
2 As 0.000 0.000 0.500
3 Ru 0.500 0.500 0.500
4 Br 0.000 0.500 0.000

Calculated values
DFT total energy, eV per atom: -3.501
Total magnetization, μB/f.u.: 1.9


Record 23
B2AsSBr after structural relaxation. Source: the Alexandria database, functional PBE-GGA.

abc: 4.365 4.365 4.863
angles: 90.00 90.00 90.00
Space group P4/mmm (No. 123)
One atom of each set of equivalent atoms:
1 B 0.000 0.500 0.000
2 As 0.000 0.000 0.000
3 S 0.000 0.000 0.500
4 Br 0.500 0.500 0.500

Calculated values
DFT total energy, eV per atom: -3.223
Total magnetization, μB/f.u.: 0.0


Record 24
BSbAs2Br after structural relaxation. Source: the Alexandria database, functional PBE-GGA.

abc: 4.648 4.648 4.507
angles: 90.00 90.00 90.00
Space group P4/mmm (No. 123)
One atom of each set of equivalent atoms:
1 B 0.000 0.000 0.000
2 Sb 0.500 0.500 0.500
3 As 0.000 0.500 0.000
4 Br 0.000 0.000 0.500

Calculated values
DFT total energy, eV per atom: -3.620
Total magnetization, μB/f.u.: 0.0


Record 25
BSbAsBr2 after structural relaxation. Source: the Alexandria database, functional PBE-GGA.

abc: 4.576 4.576 4.975
angles: 90.00 90.00 90.00
Space group P4/mmm (No. 123)
One atom of each set of equivalent atoms:
1 B 0.000 0.000 0.000
2 Sb 0.500 0.500 0.500
3 As 0.000 0.000 0.500
4 Br 0.000 0.500 0.000

Calculated values
DFT total energy, eV per atom: -3.090
Total magnetization, μB/f.u.: 0.0


Record 26
BSbAs2Br after structural relaxation. Source: the Alexandria database, functional PBE-GGA.

abc: 5.346 5.346 5.630
angles: 90.00 90.00 90.00
Space group P4/mmm (No. 123)
One atom of each set of equivalent atoms:
1 B 0.000 0.000 0.000
2 Sb 0.500 0.500 0.500
3 As 0.000 0.500 0.500
4 Br 0.500 0.500 0.000

Calculated values
DFT total energy, eV per atom: -2.808
Total magnetization, μB/f.u.: 1.1


Record 27
BSbAsBr2 after structural relaxation. Source: the Alexandria database, functional PBE-GGA.

abc: 5.584 5.584 5.492
angles: 90.00 90.00 90.00
Space group P4/mmm (No. 123)
One atom of each set of equivalent atoms:
1 B 0.000 0.000 0.000
2 Sb 0.500 0.500 0.500
3 As 0.500 0.500 0.000
4 Br 0.000 0.500 0.500

Calculated values
DFT total energy, eV per atom: -2.593
Total magnetization, μB/f.u.: 0.7


Record 28
ScBAsBr2 after structural relaxation. Source: the Alexandria database, functional PBE-GGA.

abc: 4.492 4.492 5.138
angles: 90.00 90.00 90.00
Space group P4/mmm (No. 123)
One atom of each set of equivalent atoms:
1 Sc 0.000 0.000 0.000
2 B 0.000 0.000 0.500
3 As 0.500 0.500 0.000
4 Br 0.000 0.500 0.500

Calculated values
DFT total energy, eV per atom: -3.737
Total magnetization, μB/f.u.: 0.0